No. 1
! CoH3 | the Open Quantum Materials Database | PBE-GGA | optimized geometry; values from VASP
! - E_tot: -0.1470 hartree per atom
! - ΔE to the lowest computed polymorph: 86 meV/atom
&SYSTEM
  ibrav = 0, nat = 8, ntyp = 2
/
ATOMIC_SPECIES
Co 58.93 Co.upf
H 1.01 H.upf
ATOMIC_POSITIONS crystal
Co 0.000 0.000 0.000
Co 0.500 0.500 0.500
H 0.049 0.750 0.451
H 0.250 0.549 0.951
H 0.451 0.049 0.750
H 0.549 0.951 0.250
H 0.750 0.451 0.049
H 0.951 0.250 0.549
CELL_PARAMETERS angstrom
1.935 1.117 3.231
-1.935 1.117 3.231
0.000 -2.234 3.231



No. 2
! LaNdSn | the Open Quantum Materials Database | PBE-GGA | optimized geometry; values from VASP
! - E_tot: -0.1887 hartree per atom
! - ΔE to the lowest computed polymorph: 0 meV/atom
&SYSTEM
  ibrav = 0, nat = 9, ntyp = 3
/
ATOMIC_SPECIES
La 138.91 La.upf
Nd 144.24 Nd.upf
Sn 118.71 Sn.upf
ATOMIC_POSITIONS crystal
La 0.000 0.270 0.000
La 0.270 0.000 0.000
La 0.730 0.730 0.000
Nd 0.000 0.592 0.500
Nd 0.408 0.408 0.500
Nd 0.592 0.000 0.500
Sn 0.000 0.000 0.500
Sn 0.333 0.667 0.000
Sn 0.667 0.333 0.000
CELL_PARAMETERS angstrom
8.730 0.000 0.000
-4.365 7.560 0.000
0.000 0.000 4.463



No. 3
! Pa2Tc3B2 | the Open Quantum Materials Database | PBE-GGA | optimized geometry; values from VASP
! - E_tot: -0.3480 hartree per atom
&SYSTEM
  ibrav = 0, nat = 7, ntyp = 3
/
ATOMIC_SPECIES
Pa 231.04 Pa.upf
Tc 98.00 Tc.upf
B 10.81 B.upf
ATOMIC_POSITIONS crystal
Pa 0.140 0.140 0.304
Pa 0.860 0.860 0.696
Tc 0.365 0.365 0.051
Tc 0.500 0.500 0.500
Tc 0.635 0.635 0.949
B 0.149 0.149 0.736
B 0.851 0.851 0.264
CELL_PARAMETERS angstrom
5.106 -1.604 0.000
5.106 1.604 0.000
-3.027 0.000 6.391



No. 4
! Sm3In3Ni2Pt | the Open Quantum Materials Database | PBE-GGA | optimized geometry; values from VASP
! - E_tot: -0.1842 hartree per atom
&SYSTEM
  ibrav = 0, nat = 9, ntyp = 4
/
ATOMIC_SPECIES
Sm 150.36 Sm.upf
In 114.82 In.upf
Ni 58.69 Ni.upf
Pt 195.08 Pt.upf
ATOMIC_POSITIONS crystal
Sm 0.000 0.590 0.000
Sm 0.410 0.410 0.000
Sm 0.590 0.000 0.000
In 0.000 0.261 0.500
In 0.261 0.000 0.500
In 0.739 0.739 0.500
Ni 0.333 0.667 0.500
Ni 0.667 0.333 0.500
Pt 0.000 0.000 0.000
CELL_PARAMETERS angstrom
7.515 0.000 0.000
-3.757 6.508 0.000
0.000 0.000 3.997



No. 5
! TbPuZn | the Open Quantum Materials Database | PBE-GGA | optimized geometry; values from VASP
! - E_tot: -0.2386 hartree per atom
&SYSTEM
  ibrav = 0, nat = 3, ntyp = 3
/
ATOMIC_SPECIES
Tb 158.93 Tb.upf
Pu 244.00 Pu.upf
Zn 65.41 Zn.upf
ATOMIC_POSITIONS crystal
Tb 0.000 0.000 0.000
Pu 0.500 0.500 0.500
Zn 0.750 0.750 0.750
CELL_PARAMETERS angstrom
0.000 3.487 3.487
3.487 0.000 3.487
3.487 3.487 0.000



No. 6
! K2HgTeBr6 | the Open Quantum Materials Database | PBE-GGA | optimized geometry; values from VASP
! - E_tot: -0.0888 hartree per atom
&SYSTEM
  ibrav = 0, nat = 10, ntyp = 4
/
ATOMIC_SPECIES
K 39.10 K.upf
Hg 200.59 Hg.upf
Te 127.60 Te.upf
Br 79.90 Br.upf
ATOMIC_POSITIONS crystal
K 0.250 0.250 0.250
K 0.750 0.750 0.750
Hg 0.000 0.000 0.000
Te 0.500 0.500 0.500
Br 0.259 0.259 0.741
Br 0.259 0.741 0.259
Br 0.259 0.741 0.741
Br 0.741 0.259 0.259
Br 0.741 0.259 0.741
Br 0.741 0.741 0.259
CELL_PARAMETERS angstrom
0.000 5.790 5.790
5.790 0.000 5.790
5.790 5.790 0.000



No. 7
! Y4CoSiN2 | the Open Quantum Materials Database | PBE-GGA | optimized geometry; values from VASP
! - E_tot: -0.2834 hartree per atom
! - ΔE to the lowest computed polymorph: 0 meV/atom
&SYSTEM
  ibrav = 0, nat = 8, ntyp = 4
/
ATOMIC_SPECIES
Y 88.91 Y.upf
Co 58.93 Co.upf
Si 28.09 Si.upf
N 14.01 N.upf
ATOMIC_POSITIONS crystal
Y 0.000 0.000 0.141
Y 0.000 0.000 0.859
Y 0.667 0.333 0.339
Y 0.667 0.333 0.661
Co 0.667 0.333 0.000
Si 0.000 0.000 0.500
N 0.333 0.667 0.247
N 0.333 0.667 0.753
CELL_PARAMETERS angstrom
3.476 0.000 0.000
-1.738 3.010 0.000
0.000 0.000 13.923



No. 8
! TcF4 | the Open Quantum Materials Database | PBE-GGA | optimized geometry; values from VASP
! - E_tot: -0.2002 hartree per atom
! - ΔE to the lowest computed polymorph: 45 meV/atom
&SYSTEM
  ibrav = 0, nat = 5, ntyp = 2
/
ATOMIC_SPECIES
Tc 98.00 Tc.upf
F 19.00 F.upf
ATOMIC_POSITIONS crystal
Tc 0.000 0.000 0.000
F 0.000 0.500 0.500
F 0.258 0.258 0.000
F 0.500 0.000 0.500
F 0.742 0.742 0.000
CELL_PARAMETERS angstrom
-1.982 1.982 3.655
1.982 -1.982 3.655
1.982 1.982 -3.655



No. 9
! DySi2AgAu | the Open Quantum Materials Database | PBE-GGA | optimized geometry; values from VASP
! - E_tot: -0.1762 hartree per atom
&SYSTEM
  ibrav = 0, nat = 5, ntyp = 4
/
ATOMIC_SPECIES
Dy 162.50 Dy.upf
Si 28.09 Si.upf
Ag 107.87 Ag.upf
Au 196.97 Au.upf
ATOMIC_POSITIONS crystal
Dy 0.000 0.000 0.000
Si 0.391 0.391 0.000
Si 0.609 0.609 0.000
Ag 0.750 0.250 0.500
Au 0.250 0.750 0.500
CELL_PARAMETERS angstrom
-2.096 2.096 5.255
2.096 -2.096 5.255
2.096 2.096 -5.255



No. 10
! BaIn2PdPt | the Open Quantum Materials Database | PBE-GGA | optimized geometry; values from VASP
! - E_tot: -0.1610 hartree per atom
! - ΔE to the lowest computed polymorph: 0 meV/atom
&SYSTEM
  ibrav = 0, nat = 10, ntyp = 4
/
ATOMIC_SPECIES
Ba 137.33 Ba.upf
In 114.82 In.upf
Pd 106.42 Pd.upf
Pt 195.08 Pt.upf
ATOMIC_POSITIONS crystal
Ba 0.250 0.250 0.239
Ba 0.750 0.750 0.761
In 0.250 0.250 0.882
In 0.250 0.750 0.500
In 0.750 0.250 0.500
In 0.750 0.750 0.118
Pd 0.250 0.750 0.000
Pd 0.750 0.250 0.000
Pt 0.250 0.250 0.627
Pt 0.750 0.750 0.373
CELL_PARAMETERS angstrom
4.849 0.000 0.000
0.000 4.849 0.000
0.000 0.000 10.729



No. 11
! CoPb2W | the Open Quantum Materials Database | PBE-GGA | optimized geometry; values from VASP
! - E_tot: -0.2074 hartree per atom
&SYSTEM
  ibrav = 0, nat = 4, ntyp = 3
/
ATOMIC_SPECIES
Co 58.93 Co.upf
Pb 207.20 Pb.upf
W 183.84 W.upf
ATOMIC_POSITIONS crystal
Co 0.000 0.000 0.000
Pb 0.250 0.250 0.250
Pb 0.500 0.500 0.500
W 0.750 0.750 0.750
CELL_PARAMETERS angstrom
0.000 3.452 3.452
3.452 0.000 3.452
3.452 3.452 0.000



No. 12
! Tl3FeAu4 | the Open Quantum Materials Database | PBE-GGA | optimized geometry; values from VASP
! - E_tot: -0.1214 hartree per atom
&SYSTEM
  ibrav = 0, nat = 8, ntyp = 3
/
ATOMIC_SPECIES
Tl 204.38 Tl.upf
Fe 55.84 Fe.upf
Au 196.97 Au.upf
ATOMIC_POSITIONS crystal
Tl 0.000 0.000 0.500
Tl 0.000 0.500 0.000
Tl 0.500 0.000 0.000
Fe 0.500 0.500 0.500
Au 0.000 0.000 0.000
Au 0.000 0.500 0.500
Au 0.500 0.000 0.500
Au 0.500 0.500 0.000
CELL_PARAMETERS angstrom
5.779 0.000 0.000
0.000 5.779 0.000
0.000 0.000 5.779



No. 13
! Sm2Dy2CI2Br3 | the Open Quantum Materials Database | PBE-GGA | optimized geometry; values from VASP
! - E_tot: -0.1799 hartree per atom
! - ΔE to the lowest computed polymorph: 0 meV/atom
&SYSTEM
  ibrav = 0, nat = 10, ntyp = 5
/
ATOMIC_SPECIES
Sm 150.36 Sm.upf
Dy 162.50 Dy.upf
C 12.01 C.upf
I 126.90 I.upf
Br 79.90 Br.upf
ATOMIC_POSITIONS crystal
Sm 0.136 0.136 0.073
Sm 0.864 0.864 0.927
Dy 0.500 0.500 0.199
Dy 0.500 0.500 0.801
C 0.000 0.000 0.000
I 0.331 0.331 0.197
I 0.669 0.669 0.803
Br 0.000 0.000 0.500
Br 0.345 0.345 0.657
Br 0.655 0.655 0.343
CELL_PARAMETERS angstrom
9.333 -1.946 0.000
9.333 1.946 0.000
-1.803 0.000 8.062



No. 14
! Nd2TmNiSn3Ir2 | the Open Quantum Materials Database | PBE-GGA | optimized geometry; values from VASP
! - E_tot: -0.2287 hartree per atom
&SYSTEM
  ibrav = 0, nat = 9, ntyp = 5
/
ATOMIC_SPECIES
Nd 144.24 Nd.upf
Tm 168.93 Tm.upf
Ni 58.69 Ni.upf
Sn 118.71 Sn.upf
Ir 192.22 Ir.upf
ATOMIC_POSITIONS crystal
Nd 0.000 0.205 0.795
Nd 0.000 0.795 0.205
Tm 0.000 0.385 0.385
Ni 0.000 0.788 0.788
Sn 0.500 0.043 0.043
Sn 0.500 0.545 0.792
Sn 0.500 0.792 0.545
Ir 0.500 0.137 0.456
Ir 0.500 0.456 0.137
CELL_PARAMETERS angstrom
3.998 0.000 0.000
0.000 6.448 3.767
0.000 -6.448 3.767



No. 15
! Rb2Ni3S4 | the Open Quantum Materials Database | PBE-GGA | optimized geometry; values from VASP
! - E_tot: -0.1664 hartree per atom
&SYSTEM
  ibrav = 0, nat = 18, ntyp = 3
/
ATOMIC_SPECIES
Rb 85.47 Rb.upf
Ni 58.69 Ni.upf
S 32.06 S.upf
ATOMIC_POSITIONS crystal
Rb 0.123 0.238 0.361
Rb 0.377 0.738 0.115
Rb 0.623 0.262 0.885
Rb 0.877 0.762 0.639
Ni 0.006 0.250 0.756
Ni 0.250 0.750 0.500
Ni 0.494 0.250 0.244
Ni 0.506 0.750 0.756
Ni 0.750 0.250 0.500
Ni 0.994 0.750 0.244
S 0.035 0.425 0.134
S 0.210 0.075 0.610
S 0.290 0.901 0.866
S 0.465 0.599 0.390
S 0.535 0.401 0.610
S 0.710 0.099 0.134
S 0.790 0.925 0.390
S 0.965 0.575 0.866
CELL_PARAMETERS angstrom
-2.771 5.502 6.280
2.771 -5.502 6.280
2.771 5.502 -6.280



No. 16
! Ta2Si3Ni2 | the Open Quantum Materials Database | PBE-GGA | optimized geometry; values from VASP
! - E_tot: -0.2748 hartree per atom
&SYSTEM
  ibrav = 0, nat = 7, ntyp = 3
/
ATOMIC_SPECIES
Ta 180.95 Ta.upf
Si 28.09 Si.upf
Ni 58.69 Ni.upf
ATOMIC_POSITIONS crystal
Ta 0.000 0.000 0.000
Ta 0.494 0.494 0.494
Si 0.394 0.394 0.394
Si 0.607 0.607 0.607
Si 0.883 0.883 0.883
Ni 0.246 0.246 0.246
Ni 0.749 0.749 0.749
CELL_PARAMETERS angstrom
1.885 1.089 8.327
-1.885 1.089 8.327
0.000 -2.177 8.327



No. 17
! ZrZnNiHg | the Open Quantum Materials Database | PBE-GGA | optimized geometry; values from VASP
! - E_tot: -0.1486 hartree per atom
&SYSTEM
  ibrav = 0, nat = 4, ntyp = 4
/
ATOMIC_SPECIES
Zr 91.22 Zr.upf
Zn 65.41 Zn.upf
Ni 58.69 Ni.upf
Hg 200.59 Hg.upf
ATOMIC_POSITIONS crystal
Zr 0.000 0.000 0.000
Zn 0.500 0.500 0.500
Ni 0.750 0.750 0.750
Hg 0.250 0.250 0.250
CELL_PARAMETERS angstrom
0.000 3.248 3.248
3.248 0.000 3.248
3.248 3.248 0.000



No. 18
! FeHgOsPb | the Open Quantum Materials Database | PBE-GGA | optimized geometry; values from VASP
! - E_tot: -0.1835 hartree per atom
! - ΔE to the lowest computed polymorph: 0 meV/atom
&SYSTEM
  ibrav = 0, nat = 4, ntyp = 4
/
ATOMIC_SPECIES
Fe 55.84 Fe.upf
Hg 200.59 Hg.upf
Os 190.23 Os.upf
Pb 207.20 Pb.upf
ATOMIC_POSITIONS crystal
Fe 0.000 0.000 0.000
Hg 0.250 0.250 0.250
Os 0.500 0.500 0.500
Pb 0.750 0.750 0.750
CELL_PARAMETERS angstrom
0.000 3.301 3.301
3.301 0.000 3.301
3.301 3.301 0.000



No. 19
! AgMoPd2 | the Open Quantum Materials Database | PBE-GGA | optimized geometry; values from VASP
! - E_tot: -0.2082 hartree per atom
&SYSTEM
  ibrav = 0, nat = 4, ntyp = 3
/
ATOMIC_SPECIES
Ag 107.87 Ag.upf
Mo 95.94 Mo.upf
Pd 106.42 Pd.upf
ATOMIC_POSITIONS crystal
Ag 0.000 0.000 0.000
Mo 0.250 0.250 0.250
Pd 0.500 0.500 0.500
Pd 0.750 0.750 0.750
CELL_PARAMETERS angstrom
0.000 3.159 3.159
3.159 0.000 3.159
3.159 3.159 0.000



No. 20
! HoAlGaNi | the Open Quantum Materials Database | PBE-GGA | optimized geometry; values from VASP
! - E_tot: -0.1794 hartree per atom
! - ΔE to the lowest computed polymorph: 5 meV/atom
&SYSTEM
  ibrav = 0, nat = 8, ntyp = 4
/
ATOMIC_SPECIES
Ho 164.93 Ho.upf
Al 26.98 Al.upf
Ga 69.72 Ga.upf
Ni 58.69 Ni.upf
ATOMIC_POSITIONS crystal
Ho 0.065 0.935 0.500
Ho 0.935 0.065 0.000
Al 0.346 0.654 0.694
Al 0.654 0.346 0.194
Ga 0.353 0.647 0.302
Ga 0.647 0.353 0.802
Ni 0.214 0.786 0.002
Ni 0.786 0.214 0.502
CELL_PARAMETERS angstrom
2.031 -5.037 0.000
2.031 5.037 0.000
0.000 0.000 6.775



No. 21
! CsNd2Cu3Se4S | the Open Quantum Materials Database | PBE-GGA | optimized geometry; values from VASP
! - E_tot: -0.1742 hartree per atom
&SYSTEM
  ibrav = 0, nat = 22, ntyp = 5
/
ATOMIC_SPECIES
Cs 132.91 Cs.upf
Nd 144.24 Nd.upf
Cu 63.55 Cu.upf
Se 78.96 Se.upf
S 32.06 S.upf
ATOMIC_POSITIONS crystal
Cs 0.065 0.935 0.750
Cs 0.935 0.065 0.250
Nd 0.193 0.807 0.094
Nd 0.193 0.807 0.406
Nd 0.807 0.193 0.594
Nd 0.807 0.193 0.906
Cu 0.332 0.668 0.750
Cu 0.415 0.585 0.027
Cu 0.415 0.585 0.473
Cu 0.585 0.415 0.527
Cu 0.585 0.415 0.973
Cu 0.668 0.332 0.250
Se 0.163 0.837 0.570
Se 0.163 0.837 0.930
Se 0.444 0.556 0.612
Se 0.444 0.556 0.888
Se 0.556 0.444 0.112
Se 0.556 0.444 0.388
Se 0.837 0.163 0.070
Se 0.837 0.163 0.430
S 0.229 0.771 0.250
S 0.771 0.229 0.750
CELL_PARAMETERS angstrom
2.083 -7.403 0.000
2.083 7.403 0.000
0.000 0.000 17.737



No. 22
! RbPrGd | the Open Quantum Materials Database | PBE-GGA | optimized geometry; values from VASP
! - E_tot: -0.0838 hartree per atom
&SYSTEM
  ibrav = 0, nat = 3, ntyp = 3
/
ATOMIC_SPECIES
Rb 85.47 Rb.upf
Pr 140.91 Pr.upf
Gd 157.25 Gd.upf
ATOMIC_POSITIONS crystal
Rb 0.000 0.000 0.000
Pr 0.500 0.500 0.500
Gd 0.750 0.750 0.750
CELL_PARAMETERS angstrom
0.000 4.289 4.289
4.289 0.000 4.289
4.289 4.289 0.000



No. 23
! TcN | the Open Quantum Materials Database | PBE-GGA | optimized geometry; values from VASP
! - E_tot: -0.3310 hartree per atom
! - ΔE to the lowest computed polymorph: 330 meV/atom
&SYSTEM
  ibrav = 0, nat = 2, ntyp = 2
/
ATOMIC_SPECIES
Tc 98.00 Tc.upf
N 14.01 N.upf
ATOMIC_POSITIONS crystal
Tc 0.000 0.000 0.000
N 0.333 0.667 0.500
CELL_PARAMETERS angstrom
2.822 0.000 0.000
-1.411 2.444 0.000
0.000 0.000 2.876



No. 24
! NdGa2Cu2Ni | the Open Quantum Materials Database | PBE-GGA | optimized geometry; values from VASP
! - E_tot: -0.1609 hartree per atom
&SYSTEM
  ibrav = 0, nat = 6, ntyp = 4
/
ATOMIC_SPECIES
Nd 144.24 Nd.upf
Ga 69.72 Ga.upf
Cu 63.55 Cu.upf
Ni 58.69 Ni.upf
ATOMIC_POSITIONS crystal
Nd 0.000 0.000 0.000
Ga 0.000 0.500 0.500
Ga 0.500 0.000 0.500
Cu 0.343 0.657 0.000
Cu 0.657 0.343 0.000
Ni 0.500 0.500 0.500
CELL_PARAMETERS angstrom
2.671 -4.356 0.000
2.671 4.356 0.000
0.000 0.000 4.172



No. 25
! Zr3H5 | the Open Quantum Materials Database | PBE-GGA | optimized geometry; values from VASP
! - E_tot: -0.2144 hartree per atom
&SYSTEM
  ibrav = 0, nat = 16, ntyp = 2
/
ATOMIC_SPECIES
Zr 91.22 Zr.upf
H 1.01 H.upf
ATOMIC_POSITIONS crystal
Zr 0.086 0.410 0.751
Zr 0.237 0.237 0.238
Zr 0.410 0.086 0.751
Zr 0.590 0.914 0.249
Zr 0.763 0.763 0.762
Zr 0.914 0.590 0.249
H 0.041 0.708 0.626
H 0.207 0.541 0.126
H 0.292 0.959 0.374
H 0.377 0.377 0.624
H 0.459 0.793 0.874
H 0.541 0.207 0.126
H 0.623 0.623 0.376
H 0.708 0.041 0.626
H 0.793 0.459 0.874
H 0.959 0.292 0.374
CELL_PARAMETERS angstrom
2.947 -5.029 0.000
2.947 5.029 0.000
-2.123 0.000 5.486